Computed, not measured: a relaxed structure of SbCl3 at the GGA-PBEsol level of DFT.

Cell and atoms, written as CIF:
```
data_SbCl3
_chemical_formula_sum 'Sb1 Cl3'
_symmetry_space_group_name_H-M 'P 1'
_symmetry_Int_Tables_number 1
_cell_length_a 4.486
_cell_length_b 4.486
_cell_length_c 5.898
_cell_angle_alpha 67.65
_cell_angle_beta 67.65
_cell_angle_gamma 60.00
loop_
_symmetry_equiv_pos_as_xyz
'x,y,z'
loop_
_atom_site_label
_atom_site_type_symbol
_atom_site_fract_x
_atom_site_fract_y
_atom_site_fract_z
Sb1 Sb 0.000 0.000 0.000
Cl1 Cl 0.500 0.500 0.500
Cl2 Cl 0.272 0.272 0.184
Cl3 Cl 0.728 0.728 0.816
```

Values from the calculation:
formation energy from raw total energies: -0.3526 eV per atom
space-group type: R-3m (166)
DFT total energy: -2.998 eV/atom